AlPdAu2, relaxed, DFT PBE-GGA; spin magnetization = 0.000 μB per cell; volume = 17.74 Å³/atom; total DFT energy (no corrections) = -32.82 eV per cell; E_form = -231 meV/atom
1.0
-3.631 3.631 2.691
3.631 -3.631 2.691
3.631 3.631 -2.691
Al Pd Au
2 2 4
direct
0.000 0.000 0.000 Al
0.750 0.250 0.500 Al
0.250 0.750 0.500 Pd
0.500 0.500 0.000 Pd
0.100 0.625 0.975 Au
0.375 0.350 0.475 Au
0.650 0.125 0.025 Au
0.875 0.900 0.525 Au